# 1
A geometry-optimized HgPRu2 structure. Source: the Alexandria database, functional PBEsol.

Properties
N(E_F)	4.12	states/eV per cell
calculated total energy	-26.022	eV for the cell shown
formation energy from the elements	16.42	kJ/mol of atoms
crystal system	tetragonal

a = 2.8124 Å, b = 2.8124 Å, c = 7.9444 Å
α = 90.00°, β = 90.00°, γ = 90.00°
With the nearest neighbours (Å) after each atom.
Space group P4mm (No. 99)
Unique sites:
Hg  0.0000  0.0000  0.0000 [1 per cell]  4 Hg 2.81, 4 Ru 2.87
P  0.5000  0.5000  0.3400 [1 per cell]  4 Ru 2.43
Ru  0.0000  0.0000  0.5153 [1 per cell]  4 P 2.43, 4 Ru 2.67
Ru  0.5000  0.5000  0.7394 [1 per cell]  8 Ru 2.67-2.81, 4 Hg 2.87

---

# 2
A geometry-optimized TcHg2PRu structure. Source: the Alexandria database, functional PBEsol.

Properties
N(E_F)	4.29	states/eV per cell
calculated total energy	-21.914	eV for the cell shown
formation energy from the elements	124.46	kJ/mol of atoms
crystal system	tetragonal

a = 5.1379 Å, b = 5.1379 Å, c = 4.3191 Å
α = 90.00°, β = 90.00°, γ = 90.00°
With the nearest neighbours (Å) after each atom.
Space group P4/mmm (No. 123)
Unique sites:
Tc  0.0000  0.0000  0.0000 [1 per cell]  2 P 2.16
Hg  0.0000  0.5000  0.0000 [2 per cell]  2 Tc 2.57
P  0.0000  0.0000  0.5000 [1 per cell]  2 Tc 2.16
Ru  0.5000  0.5000  0.5000 [1 per cell]  8 Hg 3.36, 4 P 3.63

---

# 3
A geometry-optimized Hg3P2S8 structure. Source: the Alexandria database, functional PBEsol.

Properties
calculated total energy	-201.963	eV for the cell shown
E_form (uncorrected)	-2.1	eV per formula unit
crystal system	cubic

a = 10.5461 Å, b = 10.5461 Å, c = 10.5461 Å
α = 90.00°, β = 90.00°, γ = 90.00°
With the nearest neighbours (Å) after each atom.
Space group P2_13 (No. 198)
Unique sites:
Hg  0.0977  0.2654  0.8852 [12 per cell]  2 S 2.41
P  0.0926  0.4074  0.5926 [4 per cell]  4 S 2.01-2.08
P  0.1145  0.8855  0.3855 [4 per cell]  4 S 2.03-2.07
S  0.0034  0.9966  0.4966 [4 per cell]  1 P 2.03
S  0.0103  0.2844  0.2265 [12 per cell]  1 P 2.07
S  0.0174  0.0174  0.0174 [4 per cell]  1 P 2.01
S  0.0245  0.7850  0.8064 [12 per cell]  1 P 2.08

---

# 4
A geometry-optimized HgP2S2 structure. Source: the Alexandria database, functional PBEsol.

Properties
N(E_F)	5.62	states/eV per cell
calculated total energy	-13.274	eV for the cell shown
E_form (uncorrected)	7.6	eV per formula unit
crystal system	tetragonal

a = 4.9382 Å, b = 4.9382 Å, c = 4.7517 Å
α = 90.00°, β = 90.00°, γ = 90.00°
With the nearest neighbours (Å) after each atom.
Space group P4/mmm (No. 123)
Unique sites:
Hg  0.0000  0.0000  0.0000 [1 per cell]  2 S 2.38, 4 P 2.47
P  0.0000  0.5000  0.0000 [2 per cell]  2 Hg 2.47
S  0.0000  0.0000  0.5000 [1 per cell]  2 Hg 2.38
S  0.5000  0.5000  0.5000 [1 per cell]  8 P 3.43, 4 S 3.49

---

# 5
A geometry-optimized HgPSeS2 structure. Source: the Alexandria database, functional PBEsol.

Properties
N(E_F)	5.83	states/eV per cell
calculated total energy	-12.941	eV for the cell shown
E_form (uncorrected)	6.0	eV per formula unit
crystal system	tetragonal

a = 4.7965 Å, b = 4.7965 Å, c = 5.0153 Å
α = 90.00°, β = 90.00°, γ = 90.00°
With the nearest neighbours (Å) after each atom.
Space group P4/mmm (No. 123)
Unique sites:
Hg  0.0000  0.0000  0.0000 [1 per cell]  4 S 2.40, 2 P 2.51
P  0.0000  0.0000  0.5000 [1 per cell]  2 Hg 2.51
Se  0.5000  0.5000  0.5000 [1 per cell]  4 P 3.39, 8 S 3.47
S  0.0000  0.5000  0.0000 [2 per cell]  2 Hg 2.40

---

# 6
A geometry-optimized SrHgP2S structure. Source: the Alexandria database, functional PBEsol.

Properties
N(E_F)	5.78	states/eV per cell
calculated total energy	-13.189	eV for the cell shown
E_form (uncorrected)	5.2	eV per formula unit
crystal system	tetragonal

a = 5.4952 Å, b = 5.4952 Å, c = 5.3013 Å
α = 90.00°, β = 90.00°, γ = 90.00°
With the nearest neighbours (Å) after each atom.
Space group P4/mmm (No. 123)
Unique sites:
Sr  0.0000  0.0000  0.0000 [1 per cell]  2 S 2.65, 4 P 2.75
Hg  0.5000  0.5000  0.5000 [1 per cell]  8 P 3.82, 4 S 3.89
P  0.0000  0.5000  0.0000 [2 per cell]  2 Sr 2.75
S  0.0000  0.0000  0.5000 [1 per cell]  2 Sr 2.65

---

# 7
A geometry-optimized TaHgPS2 structure. Source: the Alexandria database, functional PBEsol.

Properties
N(E_F)	4.80	states/eV per cell
calculated total energy	-20.405	eV for the cell shown
E_form (uncorrected)	7.3	eV per formula unit
crystal system	tetragonal

a = 4.7445 Å, b = 4.7445 Å, c = 4.7986 Å
α = 90.00°, β = 90.00°, γ = 90.00°
With the nearest neighbours (Å) after each atom.
Space group P4/mmm (No. 123)
Unique sites:
Ta  0.0000  0.0000  0.0000 [1 per cell]  4 P 3.35, 8 S 3.37
Hg  0.5000  0.5000  0.5000 [1 per cell]  4 S 2.37, 2 P 2.40
P  0.5000  0.5000  0.0000 [1 per cell]  2 Hg 2.40
S  0.0000  0.5000  0.5000 [2 per cell]  2 Hg 2.37

---

# 8
A geometry-optimized TiHgP2S structure. Source: the Alexandria database, functional PBEsol.

Properties
N(E_F)	4.36	states/eV per cell
calculated total energy	-24.409	eV for the cell shown
E_form (uncorrected)	0.4	eV per formula unit
crystal system	tetragonal

a = 4.7502 Å, b = 4.7502 Å, c = 4.5244 Å
α = 90.00°, β = 90.00°, γ = 90.00°
With the nearest neighbours (Å) after each atom.
Space group P4/mmm (No. 123)
Unique sites:
Ti  0.0000  0.0000  0.0000 [1 per cell]  2 S 2.26, 4 P 2.38
Hg  0.5000  0.5000  0.5000 [1 per cell]  8 P 3.28, 4 S 3.36
P  0.0000  0.5000  0.0000 [2 per cell]  2 Ti 2.38
S  0.0000  0.0000  0.5000 [1 per cell]  2 Ti 2.26

---

# 9
A geometry-optimized TlHgPS2 structure. Source: the Alexandria database, functional PBEsol.

Properties
N(E_F)	5.57	states/eV per cell
calculated total energy	-12.668	eV for the cell shown
E_form (uncorrected)	5.1	eV per formula unit
crystal system	tetragonal

a = 5.0198 Å, b = 5.0198 Å, c = 5.2051 Å
α = 90.00°, β = 90.00°, γ = 90.00°
With the nearest neighbours (Å) after each atom.
Space group P4/mmm (No. 123)
Unique sites:
Tl  0.0000  0.0000  0.0000 [1 per cell]  4 S 2.51, 2 P 2.60
Hg  0.5000  0.5000  0.5000 [1 per cell]  4 P 3.55, 8 S 3.62
P  0.0000  0.0000  0.5000 [1 per cell]  2 Tl 2.60
S  0.0000  0.5000  0.0000 [2 per cell]  2 Tl 2.51

---

# 10
A geometry-optimized ZnHgPS2 structure. Source: the Alexandria database, functional PBEsol.

Properties
N(E_F)	5.77	states/eV per cell
calculated total energy	-13.318	eV for the cell shown
E_form (uncorrected)	3.4	eV per formula unit
crystal system	tetragonal

a = 4.5503 Å, b = 4.5503 Å, c = 4.7878 Å
α = 90.00°, β = 90.00°, γ = 90.00°
With the nearest neighbours (Å) after each atom.
Space group P4/mmm (No. 123)
Unique sites:
Zn  0.0000  0.0000  0.0000 [1 per cell]  4 S 2.28, 2 P 2.39
Hg  0.5000  0.5000  0.5000 [1 per cell]  4 P 3.22, 8 S 3.30
P  0.0000  0.0000  0.5000 [1 per cell]  2 Zn 2.39
S  0.0000  0.5000  0.0000 [2 per cell]  2 Zn 2.28

---

# 11
A geometry-optimized ZrHgPS2 structure. Source: the Alexandria database, functional PBEsol.

Properties
N(E_F)	4.58	states/eV per cell
calculated total energy	-24.977	eV for the cell shown
E_form (uncorrected)	-0.8	eV per formula unit
crystal system	tetragonal

a = 4.8529 Å, b = 4.8529 Å, c = 5.1787 Å
α = 90.00°, β = 90.00°, γ = 90.00°
With the nearest neighbours (Å) after each atom.
Space group P4/mmm (No. 123)
Unique sites:
Zr  0.0000  0.0000  0.0000 [1 per cell]  4 S 2.43, 2 P 2.59
Hg  0.5000  0.5000  0.5000 [1 per cell]  4 P 3.43, 8 S 3.55
P  0.0000  0.0000  0.5000 [1 per cell]  2 Zr 2.59
S  0.0000  0.5000  0.0000 [2 per cell]  2 Zr 2.43

---

# 12
A geometry-optimized HgSb2P structure. Source: the Alexandria database, functional PBEsol.

Properties
offset from the most stable computed form	0.0	kJ/mol of atoms
N(E_F)	2.00	states/eV per cell
calculated total energy	-14.852	eV for the cell shown
E_form (uncorrected)	0.6	eV per formula unit
crystal system	monoclinic

a = 2.9672 Å, b = 3.8757 Å, c = 8.4220 Å
α = 90.00°, β = 90.35°, γ = 90.00°
With the nearest neighbours (Å) after each atom.
Space group P2/m (No. 10)
Unique sites:
Hg  0.0000  0.0000  0.0000 [1 per cell]  2 Hg 2.97, 4 Sb 3.00
Sb  0.0056  0.5000  0.7287 [2 per cell]  2 P 2.73, 2 Sb 2.97, 2 Hg 3.00
P  0.0000  0.0000  0.5000 [1 per cell]  4 Sb 2.73, 2 P 2.97

---

# 13
A geometry-optimized HgSb2P structure. Source: the Alexandria database, functional PBEsol.

Properties
offset from the most stable computed form	18.7	kJ/mol of atoms
N(E_F)	9.29	states/eV per cell
calculated total energy	-56.314	eV for the cell shown
E_form (uncorrected)	1.4	eV per formula unit
crystal system	cubic

a = 7.0754 Å, b = 7.0754 Å, c = 7.0754 Å
α = 90.00°, β = 90.00°, γ = 90.00°
With the nearest neighbours (Å) after each atom.
Space group Fm-3m (No. 225)
Unique sites:
Hg  0.0000  0.0000  0.0000 [4 per cell]  8 Sb 3.06
Sb  0.2500  0.2500  0.2500 [8 per cell]  4 Hg 3.06, 4 P 3.06
P  0.0000  0.0000  0.5000 [4 per cell]  8 Sb 3.06

---

no.,magnetic moment (μB/f.u.)
1,0.0
2,2.9
3,0.0
4,0.4
5,0.0
6,0.8
7,1.3
8,0.0
9,1.3
10,0.0
11,0.0
12,0.0
13,0.0